PrDy2Si6 | PBE-GGA | relaxed

Computed properties:
Mass density in Mg/m³: 5.94

Lattice parameters (Å, degrees): 7.1366 7.1366 4.0228 90.00 90.00 120.00
Closest atoms and distances in Å follow each position.
Space group P6/mmm (No. 191)
Unique sites:
1 Pr 0.0000 0.0000 0.0000  12 Si 3.13
2 Dy 0.3333 0.6667 0.0000  12 Si 3.11
3 Si 0.0000 0.3365 0.5000  3 Si 2.33-2.40


PrDy4Si4 | PBE-GGA | relaxed

Computed properties:
Mass density in Mg/m³: 6.14

Lattice parameters (Å, degrees): 9.2341 9.2341 5.7298 90.00 90.00 90.00
Closest atoms and distances in Å follow each position.
Space group P4_2/n (No. 86, origin choice 2)
Unique sites:
1 Pr 0.2500 0.2500 0.2500  4 Si 3.12
2 Dy 0.0970 0.6436 0.1280  5 Si 2.90-2.98
3 Si 0.0413 0.5964 0.6317  1 Si 2.45


PrDySi4 | PBE-GGA | relaxed

Computed properties:
Mass density in Mg/m³: 5.47

Lattice parameters (Å, degrees): 8.2474 14.7691 4.1451 90.00 90.00 90.00
Closest atoms and distances in Å follow each position.
Space group Pbam (No. 55)
Unique sites:
1 Pr 0.1189 0.1392 0.0000  12 Si 3.21-3.55
2 Dy 0.1401 0.4120 0.0000  10 Si 2.87-3.03
3 Si 0.0193 0.2955 0.5000  3 Si 2.29-2.47
4 Si 0.1216 0.5567 0.5000  3 Si 2.47-2.61
5 Si 0.1254 0.9626 0.5000  3 Si 2.34-2.51
6 Si 0.1939 0.8039 0.5000  3 Si 2.29-2.41


no.,formation energy without anion corrections (eV per atom)
1,-0.538
2,-0.474
3,-0.459